(1)
# Hf2NO PBE relaxed
data_Hf2NO
_space_group_name_H-M_alt 'R 3 m'
_space_group_IT_number 160
_space_group_name_Hall 'R 3 -2"'
_cell_length_a 3.1114
_cell_length_b 3.1114
_cell_length_c 17.1398
_cell_angle_alpha 90.00
_cell_angle_beta 90.00
_cell_angle_gamma 120.00
loop_
_atom_site_label
_atom_site_type_symbol
_atom_site_fract_x
_atom_site_fract_y
_atom_site_fract_z
Hf1 Hf 0.0000 0.0000 0.0000
Hf2 Hf 0.0000 0.0000 0.1804
N1 N 0.0000 0.0000 0.5895
O1 O 0.0000 0.0000 0.4221
# **Calculated volume**: 11.97 Å³/atom
# **ΔE_f (raw)**: -1909 meV per atom
# **Total moment**: 0.00 μB per formula unit

(2)
# ScAlOs PBE relaxed
data_ScAlOs
_space_group_name_H-M_alt 'F -4 3 m'
_space_group_IT_number 216
_space_group_name_Hall 'F -4 2 3'
_cell_length_a 6.2047
_cell_length_b 6.2047
_cell_length_c 6.2047
_cell_angle_alpha 90.00
_cell_angle_beta 90.00
_cell_angle_gamma 90.00
loop_
_atom_site_label
_atom_site_type_symbol
_atom_site_fract_x
_atom_site_fract_y
_atom_site_fract_z
Sc1 Sc 0.0000 0.0000 0.0000
Al1 Al 0.2500 0.2500 0.2500
Os1 Os 0.2500 0.2500 0.7500
# **Calculated volume**: 19.91 Å³/atom
# **DFT total energy**: -0.242 Ha/atom
# **Total moment**: 0.00 μB per formula unit

(3)
# Pm2ErTmTe6 PBE relaxed
data_Pm2ErTmTe6
_space_group_name_H-M_alt 'R 3'
_space_group_IT_number 146
_space_group_name_Hall 'R 3'
_cell_length_a 7.7711
_cell_length_b 7.7711
_cell_length_c 21.0852
_cell_angle_alpha 90.00
_cell_angle_beta 90.00
_cell_angle_gamma 120.00
loop_
_atom_site_label
_atom_site_type_symbol
_atom_site_fract_x
_atom_site_fract_y
_atom_site_fract_z
Pm1 Pm 0.0000 0.0000 0.0000
Pm2 Pm 0.0000 0.0000 0.4997
Er1 Er 0.0000 0.0000 0.1887
Tm1 Tm 0.0000 0.0000 0.6884
Te1 Te 0.0317 0.3458 0.7649
Te2 Te 0.0320 0.6844 0.2651
# **Calculated volume**: 36.76 Å³/atom
# **ΔE_f (raw)**: -1357 meV per atom
# **Total moment**: 0.00 μB per formula unit

(4)
# BaAcErO4 PBE relaxed
data_BaAcErO4
_space_group_name_H-M_alt 'C m c m'
_space_group_IT_number 63
_space_group_name_Hall '-C 2c 2'
_cell_length_a 6.1262
_cell_length_b 13.2397
_cell_length_c 6.1890
_cell_angle_alpha 90.00
_cell_angle_beta 90.00
_cell_angle_gamma 90.00
loop_
_atom_site_label
_atom_site_type_symbol
_atom_site_fract_x
_atom_site_fract_y
_atom_site_fract_z
Ba1 Ba 0.0000 0.1032 0.2500
Ac1 Ac 0.0000 0.3878 0.2500
Er1 Er 0.0000 0.2506 0.7500
O1 O 0.0000 0.0851 0.7500
O2 O 0.0000 0.4337 0.7500
O3 O 0.2500 0.2500 0.0000
# **Calculated volume**: 17.93 Å³/atom
# **ΔE_f (raw)**: -3113 meV per atom
# **Total moment**: 0.00 μB per formula unit

(5)
# TbHoTeSe2 PBE relaxed
data_TbHoTeSe2
_space_group_name_H-M_alt 'I 4 m m'
_space_group_IT_number 107
_space_group_name_Hall 'I 4 -2'
_cell_length_a 4.6299
_cell_length_b 4.6299
_cell_length_c 14.0277
_cell_angle_alpha 90.00
_cell_angle_beta 90.00
_cell_angle_gamma 90.00
loop_
_atom_site_label
_atom_site_type_symbol
_atom_site_fract_x
_atom_site_fract_y
_atom_site_fract_z
Tb1 Tb 0.0000 0.0000 0.0000
Ho1 Ho 0.0000 0.0000 0.7205
Te1 Te 0.0000 0.0000 0.3620
Se1 Se 0.0000 0.5000 0.1122
# **Calculated volume**: 30.07 Å³/atom
# **ΔE_f (raw)**: -1322 meV per atom
# **Total moment**: 0.00 μB per formula unit

(6)
# CuPt2W PBE relaxed
data_CuPt2W
_space_group_name_H-M_alt 'I 4/m m m'
_space_group_IT_number 139
_space_group_name_Hall '-I 4 2'
_cell_length_a 3.8755
_cell_length_b 3.8755
_cell_length_c 7.8511
_cell_angle_alpha 90.00
_cell_angle_beta 90.00
_cell_angle_gamma 90.00
loop_
_atom_site_label
_atom_site_type_symbol
_atom_site_fract_x
_atom_site_fract_y
_atom_site_fract_z
Cu1 Cu 0.0000 0.0000 0.0000
Pt1 Pt 0.0000 0.5000 0.2500
W1 W 0.0000 0.0000 0.5000
# **Calculated volume**: 14.74 Å³/atom
# **DFT total energy**: -0.273 Ha/atom
# **Total moment**: 0.00 μB per formula unit

(7)
# LaMg2Zn2 PBE relaxed
data_LaMg2Zn2
_space_group_name_H-M_alt 'I 4/m m m'
_space_group_IT_number 139
_space_group_name_Hall '-I 4 2'
_cell_length_a 4.3790
_cell_length_b 4.3790
_cell_length_c 12.1211
_cell_angle_alpha 90.00
_cell_angle_beta 90.00
_cell_angle_gamma 90.00
loop_
_atom_site_label
_atom_site_type_symbol
_atom_site_fract_x
_atom_site_fract_y
_atom_site_fract_z
La1 La 0.0000 0.0000 0.0000
Mg1 Mg 0.0000 0.5000 0.2500
Zn1 Zn 0.0000 0.0000 0.3958
# **Calculated volume**: 23.24 Å³/atom
# **DFT total energy**: -0.087 Ha/atom
# **Total moment**: 0.00 μB per formula unit

(8)
# Nd2SmScTl2 PBE relaxed
data_Nd2SmScTl2
_space_group_name_H-M_alt 'P m c 21'
_space_group_IT_number 26
_space_group_name_Hall 'P 2c -2'
_cell_length_a 5.0352
_cell_length_b 10.0108
_cell_length_c 7.0568
_cell_angle_alpha 90.00
_cell_angle_beta 90.00
_cell_angle_gamma 90.00
loop_
_atom_site_label
_atom_site_type_symbol
_atom_site_fract_x
_atom_site_fract_y
_atom_site_fract_z
Nd1 Nd 0.0000 0.0507 0.0000
Nd2 Nd 0.5000 0.1849 0.2835
Sm1 Sm 0.5000 0.4526 0.9030
Sc1 Sc 0.0000 0.3101 0.6083
Tl1 Tl 0.0000 0.3853 0.1778
Tl2 Tl 0.5000 0.1485 0.7358
# **Calculated volume**: 29.64 Å³/atom
# **DFT total energy**: -0.165 Ha/atom
# **Total moment**: 0.00 μB per formula unit

(9)
# LaTb2Pm7 PBE relaxed
data_LaTb2Pm7
_space_group_name_H-M_alt 'I m m m'
_space_group_IT_number 71
_space_group_name_Hall '-I 2 2'
_cell_length_a 5.5850
_cell_length_b 7.8535
_cell_length_c 16.2109
_cell_angle_alpha 90.00
_cell_angle_beta 90.00
_cell_angle_gamma 90.00
loop_
_atom_site_label
_atom_site_type_symbol
_atom_site_fract_x
_atom_site_fract_y
_atom_site_fract_z
La1 La 0.0000 0.0000 0.0000
Tb1 Tb 0.0000 0.0000 0.2137
Pm1 Pm 0.0000 0.0000 0.5000
Pm2 Pm 0.0000 0.3001 0.3696
Pm3 Pm 0.0000 0.5000 0.1557
# **Calculated volume**: 35.55 Å³/atom
# **DFT total energy**: -0.167 Ha/atom
# **Total moment**: 0.00 μB per formula unit

(10)
# PuNpNbIr PBE relaxed
data_PuNpNbIr
_space_group_name_H-M_alt 'F -4 3 m'
_space_group_IT_number 216
_space_group_name_Hall 'F -4 2 3'
_cell_length_a 6.7085
_cell_length_b 6.7085
_cell_length_c 6.7085
_cell_angle_alpha 90.00
_cell_angle_beta 90.00
_cell_angle_gamma 90.00
loop_
_atom_site_label
_atom_site_type_symbol
_atom_site_fract_x
_atom_site_fract_y
_atom_site_fract_z
Pu1 Pu 0.0000 0.0000 0.0000
Np1 Np 0.2500 0.2500 0.2500
Nb1 Nb 0.0000 0.0000 0.5000
Ir1 Ir 0.2500 0.2500 0.7500
# **Calculated volume**: 18.87 Å³/atom
# **DFT total energy**: -0.424 Ha/atom
# **Total moment**: 7.71 μB per formula unit

(11)
# PrPaMo4 PBE relaxed
data_PrPaMo4
_space_group_name_H-M_alt 'F -4 3 m'
_space_group_IT_number 216
_space_group_name_Hall 'F -4 2 3'
_cell_length_a 7.8518
_cell_length_b 7.8518
_cell_length_c 7.8518
_cell_angle_alpha 90.00
_cell_angle_beta 90.00
_cell_angle_gamma 90.00
loop_
_atom_site_label
_atom_site_type_symbol
_atom_site_fract_x
_atom_site_fract_y
_atom_site_fract_z
Pr1 Pr 0.0000 0.0000 0.0000
Pa1 Pa 0.2500 0.2500 0.7500
Mo1 Mo 0.1246 0.1246 0.3754
# **Calculated volume**: 20.17 Å³/atom
# **DFT total energy**: -0.345 Ha/atom
# **Total moment**: 0.00 μB per formula unit

(12)
# BeTcTe2 PBE relaxed
data_BeTcTe2
_space_group_name_H-M_alt 'C m m m'
_space_group_IT_number 65
_space_group_name_Hall '-C 2 2'
_cell_length_a 3.4250
_cell_length_b 5.9106
_cell_length_c 7.9037
_cell_angle_alpha 90.00
_cell_angle_beta 90.00
_cell_angle_gamma 90.00
loop_
_atom_site_label
_atom_site_type_symbol
_atom_site_fract_x
_atom_site_fract_y
_atom_site_fract_z
Be1 Be 0.0000 0.0000 0.0000
Tc1 Tc 0.0000 0.0000 0.5000
Te1 Te 0.0000 0.5000 0.2346
# **Calculated volume**: 20.00 Å³/atom
# **ΔE_f (raw)**: 743 meV per atom
# **Total moment**: 0.00 μB per formula unit

(13)
# BaSn3As3 PBE relaxed
data_BaSn3As3
_space_group_name_H-M_alt 'P 63/m'
_space_group_IT_number 176
_space_group_name_Hall '-P 6c'
_cell_length_a 10.4913
_cell_length_b 10.4913
_cell_length_c 4.5145
_cell_angle_alpha 90.00
_cell_angle_beta 90.00
_cell_angle_gamma 120.00
loop_
_atom_site_label
_atom_site_type_symbol
_atom_site_fract_x
_atom_site_fract_y
_atom_site_fract_z
Ba1 Ba 0.3333 0.6667 0.2500
Sn1 Sn 0.0174 0.2157 0.7500
As1 As 0.0527 0.4924 0.7500
# **Calculated volume**: 30.74 Å³/atom
# **DFT total energy**: -0.157 Ha/atom
# **Total moment**: 0.00 μB per formula unit

(14)
# ScCrOs PBE relaxed
data_ScCrOs
_space_group_name_H-M_alt 'I 4 m m'
_space_group_IT_number 107
_space_group_name_Hall 'I 4 -2'
_cell_length_a 3.0426
_cell_length_b 3.0426
_cell_length_c 9.9079
_cell_angle_alpha 90.00
_cell_angle_beta 90.00
_cell_angle_gamma 90.00
loop_
_atom_site_label
_atom_site_type_symbol
_atom_site_fract_x
_atom_site_fract_y
_atom_site_fract_z
Sc1 Sc 0.0000 0.0000 0.0000
Cr1 Cr 0.0000 0.0000 0.6792
Os1 Os 0.0000 0.0000 0.3157
# **Calculated volume**: 15.29 Å³/atom
# **DFT total energy**: -0.336 Ha/atom
# **Total moment**: 0.00 μB per formula unit

(15)
# LiCa2MgAg PBE relaxed
data_LiCa2MgAg
_space_group_name_H-M_alt 'P 4/m m m'
_space_group_IT_number 123
_space_group_name_Hall '-P 4 2'
_cell_length_a 5.7850
_cell_length_b 5.7850
_cell_length_c 5.1703
_cell_angle_alpha 90.00
_cell_angle_beta 90.00
_cell_angle_gamma 90.00
loop_
_atom_site_label
_atom_site_type_symbol
_atom_site_fract_x
_atom_site_fract_y
_atom_site_fract_z
Li1 Li 0.0000 0.0000 0.0000
Ca1 Ca 0.0000 0.5000 0.5000
Mg1 Mg 0.5000 0.5000 0.0000
Ag1 Ag 0.5000 0.5000 0.5000
# **Calculated volume**: 34.61 Å³/atom
# **DFT total energy**: -0.075 Ha/atom
# **Total moment**: 0.00 μB per formula unit

(16)
# K4LiHf3Se8 PBE relaxed
data_K4LiHf3Se8
_space_group_name_H-M_alt 'R -3 m'
_space_group_IT_number 166
_space_group_name_Hall '-R 3 2"'
_cell_length_a 7.9490
_cell_length_b 7.9490
_cell_length_c 22.8626
_cell_angle_alpha 90.00
_cell_angle_beta 90.00
_cell_angle_gamma 120.00
loop_
_atom_site_label
_atom_site_type_symbol
_atom_site_fract_x
_atom_site_fract_y
_atom_site_fract_z
K1 K 0.0000 0.0000 0.0000
K2 K 0.0000 0.5000 0.0000
Li1 Li 0.0000 0.0000 0.5000
Hf1 Hf 0.0000 0.5000 0.5000
Se1 Se 0.0000 0.0000 0.2333
Se2 Se 0.0088 0.5044 0.7686
# **Calculated volume**: 26.06 Å³/atom
# **ΔE_f (raw)**: -1321 meV per atom
# **Total moment**: 0.00 μB per formula unit

(17)
# LiIn PBE relaxed
data_LiIn
_space_group_name_H-M_alt 'P m m n'
_space_group_IT_number 59
_cell_length_a 3.2050
_cell_length_b 5.0657
_cell_length_c 5.2277
_cell_angle_alpha 90.00
_cell_angle_beta 90.00
_cell_angle_gamma 90.00
loop_
_space_group_symop_operation_xyz
'x,y,z'
'-x,-y,-z'
'-x+1/2,-y+1/2,z'
'x+1/2,y+1/2,-z'
'x+1/2,-y,-z'
'-x+1/2,y,z'
'-x,y+1/2,-z'
'x,-y+1/2,z'
loop_
_atom_site_label
_atom_site_type_symbol
_atom_site_fract_x
_atom_site_fract_y
_atom_site_fract_z
Li1 Li 0.2500 0.2500 0.0984
In1 In 0.2500 0.7500 0.3818
# **Calculated volume**: 21.22 Å³/atom
# **DFT total energy**: -0.093 Ha/atom
# **Total moment**: 0.00 μB per formula unit

(18)
# AlZn2PPd PBE relaxed
data_AlZn2PPd
_space_group_name_H-M_alt 'P 4/m m m'
_space_group_IT_number 123
_space_group_name_Hall '-P 4 2'
_cell_length_a 4.7199
_cell_length_b 4.7199
_cell_length_c 4.5681
_cell_angle_alpha 90.00
_cell_angle_beta 90.00
_cell_angle_gamma 90.00
loop_
_atom_site_label
_atom_site_type_symbol
_atom_site_fract_x
_atom_site_fract_y
_atom_site_fract_z
Al1 Al 0.0000 0.0000 0.0000
Zn1 Zn 0.0000 0.5000 0.0000
P1 P 0.0000 0.0000 0.5000
Pd1 Pd 0.5000 0.5000 0.5000
# **Calculated volume**: 20.35 Å³/atom
# **DFT total energy**: -0.100 Ha/atom
# **Total moment**: 0.00 μB per formula unit

(19)
# CaFeGe2 PBE relaxed
data_CaFeGe2
_space_group_name_H-M_alt 'F m -3 m'
_space_group_IT_number 225
_space_group_name_Hall '-F 4 2 3'
_cell_length_a 6.5397
_cell_length_b 6.5397
_cell_length_c 6.5397
_cell_angle_alpha 90.00
_cell_angle_beta 90.00
_cell_angle_gamma 90.00
loop_
_atom_site_label
_atom_site_type_symbol
_atom_site_fract_x
_atom_site_fract_y
_atom_site_fract_z
Ca1 Ca 0.0000 0.0000 0.0000
Fe1 Fe 0.0000 0.0000 0.5000
Ge1 Ge 0.2500 0.2500 0.2500
# **Calculated volume**: 17.48 Å³/atom
# **DFT total energy**: -0.178 Ha/atom
# **Total moment**: 0.00 μB per formula unit

(20)
# Ag2SbMo PBE relaxed
data_Ag2SbMo
_space_group_name_H-M_alt 'C m m 2'
_space_group_IT_number 35
_space_group_name_Hall 'C 2 -2'
_cell_length_a 3.6204
_cell_length_b 4.6086
_cell_length_c 9.6112
_cell_angle_alpha 90.00
_cell_angle_beta 90.00
_cell_angle_gamma 90.00
loop_
_atom_site_label
_atom_site_type_symbol
_atom_site_fract_x
_atom_site_fract_y
_atom_site_fract_z
Ag1 Ag 0.0000 0.0000 0.0000
Ag2 Ag 0.0000 0.5000 0.2290
Sb1 Sb 0.0000 0.0000 0.5462
Mo1 Mo 0.0000 0.5000 0.7690
# **Calculated volume**: 20.05 Å³/atom
# **ΔE_f (raw)**: 411 meV per atom
# **Total moment**: 0.00 μB per formula unit